TlAg2IBr2 | Alexandria via LeMat-Bulk | GGA-PBE | relaxed; E = -2.63 eV/atom; Fermi-level density of states = 0.000 states/eV/f.u.; formation energy (no corrections) = -467 meV/atom; magnetization = 0.00 μB per cell
1.0
7.597 0.000 0.000
0.000 5.894 0.000
-3.414 0.000 9.444
Tl Ag I Br
2 4 2 4
direct
0.176 0.250 0.416 Tl
0.824 0.750 0.584 Tl
0.391 0.000 0.844 Ag
0.391 0.500 0.844 Ag
0.609 0.000 0.156 Ag
0.609 0.500 0.156 Ag
0.262 0.750 0.046 I
0.738 0.250 0.954 I
0.070 0.250 0.704 Br
0.402 0.750 0.614 Br
0.598 0.250 0.386 Br
0.930 0.750 0.296 Br

Tl3Ag2I4Br2 | Alexandria via LeMat-Bulk | GGA-PBE | relaxed; E = -2.49 eV/atom; Fermi-level density of states = 3.196 states/eV/f.u.; formation energy (no corrections) = -460 meV/atom; magnetization = 0.00 μB per cell
1.0
-2.793 2.793 13.948
2.793 -2.793 13.948
2.793 2.793 -13.948
Tl Ag I Br
3 2 4 2
direct
0.000 0.000 0.000 Tl
0.185 0.185 0.000 Tl
0.815 0.815 0.000 Tl
0.394 0.394 0.000 Ag
0.606 0.606 0.000 Ag
0.084 0.584 0.500 I
0.416 0.916 0.500 I
0.584 0.084 0.500 I
0.916 0.416 0.500 I
0.295 0.295 0.000 Br
0.705 0.705 0.000 Br

Tl3Ag2I2Br5 | Alexandria via LeMat-Bulk | GGA-PBE | relaxed; E = -2.50 eV/atom; Fermi-level density of states = 3.052 states/eV/f.u.; formation energy (no corrections) = -482 meV/atom; magnetization = 0.00 μB per cell
1.0
-2.720 2.720 13.861
2.720 -2.720 13.861
2.720 2.720 -13.861
Tl Ag I Br
3 2 2 5
direct
0.000 0.000 0.000 Tl
0.173 0.173 0.000 Tl
0.827 0.827 0.000 Tl
0.403 0.403 0.000 Ag
0.597 0.597 0.000 Ag
0.300 0.300 0.000 I
0.700 0.700 0.000 I
0.093 0.593 0.500 Br
0.407 0.907 0.500 Br
0.500 0.500 0.000 Br
0.593 0.093 0.500 Br
0.907 0.407 0.500 Br

Tl2AgIBr6 | Alexandria via LeMat-Bulk | GGA-PBE | relaxed; E = -2.35 eV/atom; formation energy (no corrections) = -432 meV/atom; magnetization = 0.00 μB per cell
1.0
8.011 0.000 0.000
0.000 8.022 0.000
-5.132 0.000 12.244
Tl Ag I Br
4 2 2 12
direct
0.234 0.100 0.235 Tl
0.234 0.400 0.735 Tl
0.766 0.600 0.265 Tl
0.766 0.900 0.765 Tl
0.500 0.000 0.000 Ag
0.500 0.500 0.500 Ag
0.000 0.000 0.500 I
0.000 0.500 0.000 I
0.180 0.710 0.915 Br
0.180 0.790 0.415 Br
0.210 0.234 0.980 Br
0.210 0.266 0.480 Br
0.407 0.032 0.795 Br
0.407 0.468 0.295 Br
0.593 0.532 0.705 Br
0.593 0.968 0.205 Br
0.790 0.734 0.520 Br
0.790 0.766 0.020 Br
0.820 0.210 0.585 Br
0.820 0.290 0.085 Br

TlAgI2Br | Alexandria via LeMat-Bulk | GGA-PBE | relaxed; E = -2.33 eV/atom; Fermi-level density of states = 1.667 states/eV/f.u.; formation energy (no corrections) = -335 meV/atom; magnetization = 0.00 μB per cell
1.0
5.753 0.000 0.000
0.000 5.753 0.000
0.000 0.000 5.420
Tl Ag I Br
1 1 2 1
direct
0.000 0.000 0.000 Tl
0.500 0.500 0.500 Ag
0.000 0.500 0.500 I
0.500 0.000 0.500 I
0.500 0.500 0.000 Br

Tl3Ag2I2Br4 | Alexandria via LeMat-Bulk | GGA-PBE | relaxed; E = -2.58 eV/atom; Fermi-level density of states = 9.377 states/eV/f.u.; formation energy (no corrections) = -527 meV/atom; magnetization = 0.00 μB per cell
1.0
-2.630 2.630 14.286
2.630 -2.630 14.286
2.630 2.630 -14.286
Tl Ag I Br
3 2 2 4
direct
0.000 0.000 0.000 Tl
0.180 0.180 0.000 Tl
0.820 0.820 0.000 Tl
0.403 0.403 0.000 Ag
0.597 0.597 0.000 Ag
0.300 0.300 0.000 I
0.700 0.700 0.000 I
0.078 0.578 0.500 Br
0.422 0.922 0.500 Br
0.578 0.078 0.500 Br
0.922 0.422 0.500 Br

TlAg2IBr6 | Alexandria via LeMat-Bulk | GGA-PBE | relaxed; E = -2.28 eV/atom; formation energy (no corrections) = -311 meV/atom; magnetization = 0.00 μB per cell
1.0
7.197 0.000 0.000
2.134 7.275 0.000
1.080 3.509 6.965
Tl Ag I Br
1 2 1 6
direct
0.000 0.000 0.000 Tl
0.104 0.173 0.370 Ag
0.579 0.023 0.658 Ag
0.507 0.454 0.516 I
0.211 0.527 0.292 Br
0.255 0.898 0.715 Br
0.285 0.127 0.060 Br
0.790 0.774 0.972 Br
0.799 0.057 0.318 Br
0.807 0.406 0.730 Br

Tl5AgI4Br2 | Alexandria via LeMat-Bulk | GGA-PBE | relaxed; E = -2.64 eV/atom; Fermi-level density of states = 0.000 states/eV/f.u.; formation energy (no corrections) = -623 meV/atom; magnetization = 0.00 μB per cell
1.0
9.830 0.000 0.000
0.000 6.525 4.210
0.000 -6.525 4.210
Tl Ag I Br
5 1 4 2
direct
0.000 0.000 0.000 Tl
0.247 0.307 0.712 Tl
0.247 0.712 0.307 Tl
0.753 0.307 0.712 Tl
0.753 0.712 0.307 Tl
0.500 0.031 0.031 Ag
0.273 0.247 0.247 I
0.500 0.642 0.980 I
0.500 0.980 0.642 I
0.727 0.247 0.247 I
0.000 0.579 0.992 Br
0.000 0.992 0.579 Br

TlAgIBr2 | Alexandria via LeMat-Bulk | GGA-PBE | relaxed; E = -2.42 eV/atom; Fermi-level density of states = 1.633 states/eV/f.u.; formation energy (no corrections) = -400 meV/atom; magnetization = 0.00 μB per cell; distance to the lowest polymorph of the same formula = 0.9 kJ/mol of atoms
1.0
5.423 0.000 0.000
0.000 5.423 0.000
0.000 0.000 5.710
Tl Ag I Br
1 1 1 2
direct
0.000 0.000 0.000 Tl
0.500 0.500 0.500 Ag
0.500 0.500 0.000 I
0.000 0.500 0.500 Br
0.500 0.000 0.500 Br

Tl2AgI2Br2 | Alexandria via LeMat-Bulk | GGA-PBE | relaxed; E = -2.48 eV/atom; Fermi-level density of states = 4.583 states/eV/f.u.; formation energy (no corrections) = -479 meV/atom; magnetization = 0.00 μB per cell
1.0
-2.741 2.741 8.544
2.741 -2.741 8.544
2.741 2.741 -8.544
Tl Ag I Br
2 1 2 2
direct
0.130 0.130 0.000 Tl
0.870 0.870 0.000 Tl
0.500 0.500 0.000 Ag
0.332 0.332 0.000 I
0.668 0.668 0.000 I
0.000 0.500 0.500 Br
0.500 0.000 0.500 Br

Tl2AgIBr4 | Alexandria via LeMat-Bulk | GGA-PBE | relaxed; E = -2.49 eV/atom; formation energy (no corrections) = -507 meV/atom; magnetization = 0.00 μB per cell
1.0
8.549 0.000 0.000
0.000 5.440 0.000
-3.348 0.000 8.294
Tl Ag I Br
2 1 1 4
direct
0.000 0.000 0.000 Tl
0.500 0.500 0.000 Tl
0.000 0.500 0.500 Ag
0.500 0.000 0.500 I
0.077 0.500 0.798 Br
0.425 0.000 0.176 Br
0.575 0.000 0.824 Br
0.923 0.500 0.202 Br

Tl2AgIBr2 | Alexandria via LeMat-Bulk | GGA-PBE | relaxed; E = -2.68 eV/atom; Fermi-level density of states = 0.000 states/eV/f.u.; formation energy (no corrections) = -602 meV/atom; magnetization = 0.00 μB per cell
1.0
7.313 -5.098 0.000
7.313 5.098 0.000
0.000 0.000 6.743
Tl Ag I Br
4 2 2 4
direct
0.016 0.319 0.000 Tl
0.319 0.016 0.500 Tl
0.681 0.984 0.000 Tl
0.984 0.681 0.500 Tl
0.343 0.657 0.938 Ag
0.657 0.343 0.438 Ag
0.381 0.619 0.509 I
0.619 0.381 0.009 I
0.033 0.670 0.008 Br
0.330 0.967 0.008 Br
0.670 0.033 0.508 Br
0.967 0.330 0.508 Br